Below is an optimized crystal structure of Sb2OsSI, with properties calculated at the PBE-GGA level.

As for the crystal system: tetragonal. The calculation puts the magnetization at 0.000 μB per atom. The value obtained for the energy above the lowest structure with this stoichiometry is 812.5 meV per atom. The calculated total energy comes out at -3.4133 eV/atom. Its formation energy without anion corrections is 1617 meV per atom. The density of states at the Fermi level is 4.65 states/eV/f.u.

The structure belongs to space group P4/mmm (No. 123); the cell edges are 5.0238, 5.0238 and 5.2478 Å and the angles 90.00°, 90.00° and 90.00°. Symmetry generates all atoms from Sb at (0.0000, 0.5000, 0.0000), Os at (0.0000, 0.0000, 0.5000), S at (0.5000, 0.5000, 0.0000) and I at (0.5000, 0.5000, 0.5000).